[1]
Entry from Alexandria via LeMat-Bulk: a geometry-optimized Li2TaSbO6 structure (GGA-PBE).

SG = R3
Total moment = 0.0 Bohr magnetons per cell
Formation energy (no corrections) = -2.184 eV/atom

Unit cell a=5.1996 b=5.1998 c=5.4984 alpha=61.78 beta=61.78 gamma=60.00
Sites, in units of the cell vectors:
Ta: 0.8176 0.8176 0.5472
Sb: 0.3184 0.3184 0.0447
O: 0.0857 0.4477 0.7720
O: 0.6947 0.0857 0.7719
O: 0.5871 0.1956 0.2719
O: 0.9454 0.5870 0.2720
O: 0.1956 0.9454 0.2720
O: 0.4476 0.6947 0.7720
Li: 0.0320 0.0321 0.9038
Li: 0.5375 0.5374 0.3877

---

[2]
Entry from Alexandria via LeMat-Bulk: a geometry-optimized Y2CrCd structure (GGA-PBE).

SG = I-42d
Total moment = 6.0 Bohr magnetons per cell
DFT formation energy = 459.6 meV per atom

Unit cell a=8.1514 b=8.1514 c=6.5732 alpha=51.68 beta=51.68 gamma=90.00
Sites, in units of the cell vectors:
Cr: 0.5000 0.5000 0.0000
Cr: 0.2500 0.7500 0.5000
Y: 0.6065 0.1250 0.2500
Y: 0.8750 0.8565 0.7500
Y: 0.1435 0.6250 0.2500
Y: 0.3750 0.3935 0.7500
Cd: 0.0000 0.0000 0.0000
Cd: 0.7500 0.2500 0.5000

---

[3]
Entry from Alexandria via LeMat-Bulk: a geometry-optimized RbSbRh3 structure (GGA-PBE).

Energy relative to the lowest polymorph listed for this composition = 0.000 eV per formula unit
SG = Pm-3m
Total moment = 0.6 Bohr magnetons per cell
Formation energy (no corrections) = 0.607 eV/atom

Unit cell a=4.9922 b=4.9922 c=4.9922 alpha=90.00 beta=90.00 gamma=90.00
Sites, in units of the cell vectors:
Rh: 0.0000 0.5000 0.0000
Rh: 0.5000 0.0000 0.0000
Rh: 0.0000 0.0000 0.5000
Rb: 0.5000 0.5000 0.5000
Sb: 0.0000 0.0000 0.0000